Entry 1:
{"formula": "KHfSb2", "functional": "PBE", "state": "relaxed", "lattice": [[-3.311, -0.525, -2.152], [-2.491, -2.982, 0.874], [-6.451, 4.253, 5.199]], "species": ["Sb", "Sb", "Hf", "K"], "fractional_positions": [[0.266, 0.266, 0.202], [0.067, 0.067, 0.798], [0.667, 0.667, 0.998], [0.499, 0.499, 0.502]], "crystal_system": "trigonal", "formation_energy_uncorrected_mev_per_atom": -391.6, "de_polymorph_mev_per_atom": 3.2, "magnetic_moment_mub_per_cell": 0.0, "sg": "R3m (160)"}

***

Entry 2:
{"formula": "KHfSb2", "functional": "PBE", "state": "relaxed", "lattice": [[3.447, 0.000, 0.000], [0.000, 3.447, 0.000], [0.000, 0.000, 9.222]], "species": ["K", "Sb", "Sb", "Hf"], "fractional_positions": [[0.500, 0.500, 0.500], [0.000, 0.000, 0.792], [0.000, 0.000, 0.208], [0.500, 0.500, 0.000]], "crystal_system": "tetragonal", "formation_energy_uncorrected_mev_per_atom": -340.8, "de_polymorph_mev_per_atom": 54.0, "magnetic_moment_mub_per_cell": 0.0, "sg": "P4/mmm (123)"}

***

Entry 3:
{"formula": "KHfSb2", "functional": "PBE", "state": "relaxed", "lattice": [[6.709, 0.000, 0.000], [0.000, 6.709, 0.000], [3.354, 3.354, 8.580]], "species": ["K", "K", "Sb", "Sb", "Sb", "Sb", "Hf", "Hf"], "fractional_positions": [[0.500, 0.500, 0.000], [0.250, 0.750, 0.500], [0.875, 0.118, 0.750], [0.375, 0.132, 0.750], [0.882, 0.625, 0.250], [0.868, 0.125, 0.250], [0.000, 0.000, 0.000], [0.750, 0.250, 0.500]], "crystal_system": "tetragonal", "formation_energy_uncorrected_mev_per_atom": -65.2, "de_polymorph_mev_per_atom": 329.6, "magnetic_moment_mub_per_cell": 0.0, "sg": "I-42d (122)"}

***

Entry 4:
{"formula": "KHfSb2", "functional": "PBE", "state": "relaxed", "lattice": [[0.000, 3.761, 3.761], [3.761, 0.000, 3.761], [3.761, 3.761, 0.000]], "species": ["Sb", "Sb", "Hf", "K"], "fractional_positions": [[0.750, 0.750, 0.750], [0.250, 0.250, 0.250], [0.500, 0.500, 0.500], [0.000, 0.000, 0.000]], "crystal_system": "cubic", "formation_energy_uncorrected_mev_per_atom": 13.7, "de_polymorph_mev_per_atom": 408.5, "magnetic_moment_mub_per_cell": 0.0, "sg": "Fm-3m (225)"}